The following is a GGA-PBE calculation of crystalline Hf2HgPd9 at its relaxed geometry, from Alexandria via LeMat-Bulk.

The space group is P4/mmm (No. 123) and the conventional cell measures 4.023, 4.023 and 12.127 Å, with angles of 90.00, 90.00 and 90.00 degrees. The asymmetric unit holds Hf at (0.000, 0.000, 0.169), Hg at (0.000, 0.000, 0.500), Pd at (0.000, 0.500, 0.000), Pd at (0.000, 0.500, 0.325), Pd at (0.500, 0.500, 0.163) and Pd at (0.500, 0.500, 0.500).

The density of states at the Fermi level comes out at 5.1 states/eV per cell. The total energy is -6.24 eV per atom. For the formation energy from the elements, the calculation gives -660 meV per atom. The total moment comes out at 0.0 μB/f.u. As for the calculated volume: 196.30 Å³ per cell.